NbCoIr2 | GGA-PBE | optimized geometry

Values from the calculation:
Its energy of formation is -440 meV/atom. Its total energy is -73.34 eV/cell. Its spin magnetization is 0.02 μB/cell.

Cell: 4.3966 5.4787 5.4787 Å, 120.28 90.00 90.00°
Atoms (fractional coordinates):
Nb1 0.2500 0.1646 0.8354
Nb2 0.7500 0.8354 0.1646
Co1 0.2500 0.6711 0.8283
Co2 0.7500 0.8283 0.6711
Ir1 0.2500 0.1794 0.3432
Ir2 0.2500 0.6757 0.3529
Ir3 0.7500 0.3432 0.1794
Ir4 0.7500 0.3529 0.6757

---

NbCoIr2 | GGA-PBE | optimized geometry

Values from the calculation:
Its energy of formation is -457 meV/atom. Its total energy is -73.48 eV/cell. Its spin magnetization is 0.00 μB/cell.

Cell: 5.4623 5.4623 4.3809 Å, 90.00 90.00 119.75°
Atoms (fractional coordinates):
Nb1 0.1695 0.8305 0.7500
Nb2 0.8305 0.1695 0.2500
Co1 0.3382 0.6618 0.2500
Co2 0.6618 0.3382 0.7500
Ir1 0.1750 0.3419 0.7500
Ir2 0.3419 0.1750 0.2500
Ir3 0.6581 0.8250 0.7500
Ir4 0.8250 0.6581 0.2500

---

NbCoIr2 | GGA-PBE | optimized geometry

Values from the calculation:
Its energy of formation is -442 meV/atom. Its total energy is -73.36 eV/cell. Its spin magnetization is 0.30 μB/cell.

Cell: 4.3747 5.4770 5.4770 Å, 60.31 90.00 90.00°
Atoms (fractional coordinates):
Nb1 0.0000 0.0000 0.0000
Nb2 0.5000 0.3312 0.3312
Co1 0.0000 0.5077 0.9923
Co2 0.0000 0.9923 0.5077
Ir1 0.0000 0.5031 0.5031
Ir2 0.5000 0.3438 0.8353
Ir3 0.5000 0.8295 0.8295
Ir4 0.5000 0.8353 0.3438

---

NbCoIr2 | GGA-PBE | optimized geometry

Values from the calculation:
Its energy of formation is 41 meV/atom. Its total energy is -34.75 eV/cell. Its spin magnetization is 1.58 μB/cell.

Cell: 4.3587 4.3587 4.3587 Å, 60.00 60.00 60.00°
Atoms (fractional coordinates):
Nb1 0.0000 0.0000 0.0000
Co1 0.2500 0.2500 0.2500
Ir1 0.5000 0.5000 0.5000
Ir2 0.7500 0.7500 0.7500

---

Nb2Co5Ir | GGA-PBE | optimized geometry

Values from the calculation:
Its energy of formation is -223 meV/atom. Its total energy is -66.36 eV/cell. Its spin magnetization is 0.74 μB/cell.

Cell: 4.1954 5.2322 5.2322 Å, 60.44 90.00 90.00°
Atoms (fractional coordinates):
Nb1 0.0000 0.0000 0.0000
Nb2 0.5000 0.3284 0.3284
Co1 0.0000 0.5118 0.9864
Co2 0.0000 0.9864 0.5118
Co3 0.5000 0.3485 0.8327
Co4 0.5000 0.8257 0.8257
Co5 0.5000 0.8327 0.3485
Ir1 0.0000 0.5092 0.5092

---

Nb2CoIr | GGA-PBE | optimized geometry

Values from the calculation:
Its energy of formation is -128 meV/atom. Its total energy is -36.66 eV/cell. Its spin magnetization is 0.00 μB/cell.

Cell: 4.4077 4.4077 4.4077 Å, 60.00 60.00 60.00°
Atoms (fractional coordinates):
Nb1 0.0000 0.0000 0.0000
Nb2 0.2500 0.2500 0.2500
Co1 0.5000 0.5000 0.5000
Ir1 0.7500 0.7500 0.7500

---

Nb2CoIrPb2 | GGA-PBE | optimized geometry

Values from the calculation:
Its total energy is -175.02 eV/cell. Its spin magnetization is 0.02 μB/cell.

Cell: 7.6050 4.3794 14.5478 Å, 90.00 99.84 90.00°
Atoms (fractional coordinates):
Nb1 0.0000 0.0000 0.0000
Nb2 0.0012 0.5000 0.4988
Nb3 0.2490 0.5000 0.2482
Nb4 0.2529 0.0000 0.7580
Nb5 0.4950 0.5000 0.0009
Nb6 0.4984 0.0000 0.4996
Nb7 0.7466 0.0000 0.2487
Nb8 0.7504 0.5000 0.7585
Co1 0.3115 0.0000 0.9407
Co2 0.3115 0.5000 0.4367
Co3 0.5577 0.5000 0.1859
Co4 0.8114 0.5000 0.9387
Ir1 0.0614 0.0000 0.1864
Ir2 0.0658 0.5000 0.6936
Ir3 0.5616 0.0000 0.6936
Ir4 0.8112 0.0000 0.4354
Pb1 0.1269 0.5000 0.8857
Pb2 0.1388 0.0000 0.3784
Pb3 0.3724 0.5000 0.6189
Pb4 0.3851 0.0000 0.1236
Pb5 0.6085 0.5000 0.3689
Pb6 0.6270 0.0000 0.8867
Pb7 0.8576 0.5000 0.1204
Pb8 0.8745 0.0000 0.6264

---

NbCoIrPb | GGA-PBE | optimized geometry

Values from the calculation:
Its total energy is -28.27 eV/cell. The relative energy among the computed polymorphs is 149 meV per atom. Its spin magnetization is 0.00 μB/cell.

Cell: 4.5559 4.5559 4.5559 Å, 60.00 60.00 60.00°
Atoms (fractional coordinates):
Nb1 0.0000 0.0000 0.0000
Co1 0.5000 0.5000 0.5000
Ir1 0.7500 0.7500 0.7500
Pb1 0.2500 0.2500 0.2500

---

Q: Among the records above, which one has the highest spin magnetization?
A: number 4

---

Repeat the fourth record exactly.
NbCoIr2 | GGA-PBE | optimized geometry

Values from the calculation:
Its energy of formation is 41 meV/atom. Its total energy is -34.75 eV/cell. Its spin magnetization is 1.58 μB/cell.

Cell: 4.3587 4.3587 4.3587 Å, 60.00 60.00 60.00°
Atoms (fractional coordinates):
Nb1 0.0000 0.0000 0.0000
Co1 0.2500 0.2500 0.2500
Ir1 0.5000 0.5000 0.5000
Ir2 0.7500 0.7500 0.7500

---

Please write out number 1 again, unchanged.
NbCoIr2 | GGA-PBE | optimized geometry

Values from the calculation:
Its energy of formation is -440 meV/atom. Its total energy is -73.34 eV/cell. Its spin magnetization is 0.02 μB/cell.

Cell: 4.3966 5.4787 5.4787 Å, 120.28 90.00 90.00°
Atoms (fractional coordinates):
Nb1 0.2500 0.1646 0.8354
Nb2 0.7500 0.8354 0.1646
Co1 0.2500 0.6711 0.8283
Co2 0.7500 0.8283 0.6711
Ir1 0.2500 0.1794 0.3432
Ir2 0.2500 0.6757 0.3529
Ir3 0.7500 0.3432 0.1794
Ir4 0.7500 0.3529 0.6757